# 1
Compound: ZnHg2As2
Source: Alexandria
Functional: PBE
Structure: optimized geometry

As for the density: 8.5 g/cm³. The density of states at the Fermi level comes out at 3.31 states/eV per cell. For the energy relative to the elements, the calculation gives 75 meV/atom. Its crystal system is tetragonal. The value obtained for the magnetization is 0.00 μB/cell. Its energy above the most stable polymorph in this dataset is 0 meV/atom.

The structure belongs to space group P4/mbm (No. 127); the cell edges are 6.5133, 6.5133 and 5.7074 Å and the angles 90.00°, 90.00° and 90.00°. The asymmetric unit holds Zn at (0.0000, 0.0000, 0.0000), Hg at (0.1734, 0.3266, 0.5000) and As at (0.1340, 0.3660, 0.0000).

***

# 2
Compound: InSi2Mo
Source: Alexandria
Functional: PBE
Structure: optimized geometry

As for the density: 6.4 g/cm³. The density of states at the Fermi level comes out at 7.16 states/eV per cell. As for the uncorrected formation energy: 122 kJ/mol of formula units. Its crystal system is trigonal. The value obtained for the magnetization is 0.00 μB/cell.

The structure belongs to space group R3m (No. 160, hexagonal axes); the cell edges are 3.1830, 3.1830 and 23.7971 Å and the angles 90.00°, 90.00° and 120.00°. The asymmetric unit holds In at (0.0000, 0.0000, 0.0000), Si at (0.0000, 0.0000, 0.2380), Si at (0.0000, 0.0000, 0.4998) and Mo at (0.0000, 0.0000, 0.7613).

***

# 3
Compound: YPbF2
Source: Alexandria
Functional: PBE
Structure: optimized geometry

As for the density: 5.7 g/cm³. The density of states at the Fermi level comes out at 15.39 states/eV per cell. As for the uncorrected formation energy: -884 kJ/mol of formula units. Its crystal system is tetragonal. The value obtained for the magnetization is 0.00 μB/cell. Its energy above the most stable polymorph in this dataset is 0 meV/atom.

The structure belongs to space group I-42d (No. 122); the cell edges are 5.4039, 5.4039 and 13.2866 Å and the angles 90.00°, 90.00° and 90.00°. The asymmetric unit holds Y at (0.0000, 0.0000, 0.0000), Pb at (0.0000, 0.0000, 0.5000) and F at (0.0435, 0.2500, 0.1250).

***

# 4
Compound: Cr2AsRu
Source: Alexandria
Functional: PBE
Structure: optimized geometry

As for the density: 9.0 g/cm³. The density of states at the Fermi level comes out at 3.47 states/eV per cell. For the energy relative to the elements, the calculation gives 103 meV/atom. Its crystal system is tetragonal. The value obtained for the magnetization is 0.00 μB/cell.

The structure belongs to space group P4/mmm (No. 123); the cell edges are 2.8478, 2.8478 and 6.3842 Å and the angles 90.00°, 90.00° and 90.00°. The asymmetric unit holds Cr at (0.0000, 0.0000, 0.2368), As at (0.5000, 0.5000, 0.0000) and Ru at (0.5000, 0.5000, 0.5000).

***

# 5
Compound: Ca2BeCr
Source: Alexandria
Functional: PBE
Structure: optimized geometry

As for the density: 2.3 g/cm³. The density of states at the Fermi level comes out at 5.50 states/eV per cell. For the energy relative to the elements, the calculation gives 456 meV/atom. Its crystal system is orthorhombic. The value obtained for the magnetization is 7.64 μB/cell.

The structure belongs to space group Amm2 (No. 38); the cell edges are 4.1854, 4.5337 and 10.7876 Å and the angles 90.00°, 90.00° and 90.00°. The asymmetric unit holds Ca at (0.0000, 0.0000, 0.0000), Ca at (0.5000, 0.0000, 0.2897), Be at (0.5000, 0.0000, 0.5916) and Cr at (0.0000, 0.0000, 0.6925).

***

# 6
Compound: La2Ho5Tm
Source: Alexandria
Functional: PBE
Structure: optimized geometry

As for the density: 8.1 g/cm³. The density of states at the Fermi level comes out at 26.21 states/eV per cell. For the energy relative to the elements, the calculation gives 36 meV/atom. Its crystal system is orthorhombic. The value obtained for the magnetization is 0.00 μB/cell.

The structure belongs to space group Pbam (No. 55); the cell edges are 7.1526, 14.3090 and 5.0681 Å and the angles 90.00°, 90.00° and 90.00°. The asymmetric unit holds La at (0.2481, 0.1248, 0.0000), Ho at (0.0000, 0.5000, 0.5000), Ho at (0.0025, 0.7502, 0.5000), Ho at (0.2477, 0.3748, 0.0000) and Tm at (0.0000, 0.0000, 0.5000).

***

# 7
Compound: BiPdBr
Source: Alexandria
Functional: PBE
Structure: optimized geometry

As for the density: 7.9 g/cm³. The density of states at the Fermi level comes out at 2.64 states/eV per cell. As for the uncorrected formation energy: -108 kJ/mol of formula units. Its crystal system is monoclinic. The value obtained for the magnetization is 0.00 μB/cell.

The structure belongs to space group P2_1/m (No. 11); the cell edges are 3.6616, 4.5754 and 10.0522 Å and the angles 90.00°, 99.11° and 90.00°. The asymmetric unit holds Bi at (0.0659, 0.2500, 0.1511), Pd at (0.4641, 0.2500, 0.9191) and Br at (0.3536, 0.2500, 0.6606).

***

# 8
Compound: Ba3Pm3ErS8
Source: Alexandria
Functional: PBE
Structure: optimized geometry

As for the density: 4.9 g/cm³. The density of states at the Fermi level comes out at 10.74 states/eV per cell. As for the uncorrected formation energy: -2986 kJ/mol of formula units. Its crystal system is trigonal. The value obtained for the magnetization is 0.00 μB/cell.

The structure belongs to space group R-3m (No. 166, hexagonal axes); the cell edges are 8.2599, 8.2599 and 21.8668 Å and the angles 90.00°, 90.00° and 120.00°. The asymmetric unit holds Ba at (0.0000, 0.5000, 0.0000), Pm at (0.0000, 0.5000, 0.5000), Er at (0.0000, 0.0000, 0.5000), S at (0.0000, 0.0000, 0.2395) and S at (0.0104, 0.5052, 0.2362).

***

# 9
Compound: MgZnCo2
Source: Alexandria
Functional: PBE
Structure: optimized geometry

As for the density: 6.6 g/cm³. The density of states at the Fermi level comes out at 3.99 states/eV per cell. For the energy relative to the elements, the calculation gives 106 meV/atom. Its crystal system is orthorhombic. The value obtained for the magnetization is 2.67 μB/cell.

The structure belongs to space group Pmmm (No. 47); the cell edges are 3.1784, 4.0448 and 4.0894 Å and the angles 90.00°, 90.00° and 90.00°. The asymmetric unit holds Mg at (0.0000, 0.0000, 0.0000), Zn at (0.5000, 0.0000, 0.5000), Co at (0.0000, 0.5000, 0.5000) and Co at (0.5000, 0.5000, 0.0000).

***

# 10
Compound: TiMn2Se
Source: Alexandria
Functional: PBE
Structure: optimized geometry

As for the density: 6.0 g/cm³. The density of states at the Fermi level comes out at 15.90 states/eV per cell. As for the uncorrected formation energy: 59 kJ/mol of formula units. Its crystal system is tetragonal. The value obtained for the magnetization is 23.66 μB/cell.

The structure belongs to space group I-42d (No. 122); the cell edges are 7.1673, 7.1673 and 5.1145 Å and the angles 90.00°, 90.00° and 90.00°. The asymmetric unit holds Ti at (0.0000, 0.0000, 0.0000), Mn at (0.2182, 0.7500, 0.6250) and Se at (0.0000, 0.0000, 0.5000).

***

# 11
Compound: CaHoPa2P4
Source: Alexandria
Functional: PBE
Structure: optimized geometry

As for the density: 7.3 g/cm³. The density of states at the Fermi level comes out at 15.64 states/eV per cell. For the energy relative to the elements, the calculation gives -1343 meV/atom. Its crystal system is tetragonal. The value obtained for the magnetization is 0.03 μB/cell.

The structure belongs to space group I-4m2 (No. 119); the cell edges are 5.6395, 5.6395 and 11.3531 Å and the angles 90.00°, 90.00° and 90.00°. The asymmetric unit holds Ca at (0.0000, 0.0000, 0.0000), Ho at (0.0000, 0.5000, 0.7500), Pa at (0.0000, 0.0000, 0.5000), Pa at (0.0000, 0.5000, 0.2500), P at (0.0000, 0.0000, 0.2556) and P at (0.0000, 0.5000, 0.0028).

***

# 12
Compound: TlSnI2Br
Source: Alexandria
Functional: PBE
Structure: optimized geometry

As for the density: 5.5 g/cm³. The density of states at the Fermi level comes out at 0.00 states/eV per cell. As for the uncorrected formation energy: -314 kJ/mol of formula units. Its crystal system is orthorhombic. The value obtained for the magnetization is 0.00 μB/cell. Its energy above the most stable polymorph in this dataset is 0 meV/atom.

The structure belongs to space group Cmcm (No. 63); the cell edges are 4.6227, 15.2691 and 11.2344 Å and the angles 90.00°, 90.00° and 90.00°. The asymmetric unit holds Tl at (0.0000, 0.2293, 0.2500), Sn at (0.0000, 0.5000, 0.0000), I at (0.0000, 0.1400, 0.5562) and Br at (0.0000, 0.4294, 0.7500).

***

# 13
Compound: Pt3Br
Source: Alexandria
Functional: PBE
Structure: optimized geometry

As for the density: 15.4 g/cm³. The density of states at the Fermi level comes out at 9.60 states/eV per cell. As for the uncorrected formation energy: 203 kJ/mol of formula units. Its crystal system is orthorhombic. The value obtained for the magnetization is 0.00 μB/cell. Its energy above the most stable polymorph in this dataset is 151 meV/atom.

The structure belongs to space group Immm (No. 71); the cell edges are 2.7822, 4.6647 and 11.0609 Å and the angles 90.00°, 90.00° and 90.00°. The asymmetric unit holds Pt at (0.0000, 0.0000, 0.0000), Pt at (0.0000, 0.5000, 0.2745) and Br at (0.0000, 0.0000, 0.5000).

***

# 14
Compound: KY2Cu
Source: Alexandria
Functional: PBE
Structure: optimized geometry

As for the density: 4.3 g/cm³. The density of states at the Fermi level comes out at 33.82 states/eV per cell. For the energy relative to the elements, the calculation gives 551 meV/atom. Its crystal system is cubic. The value obtained for the magnetization is 0.00 μB/cell. Its energy above the most stable polymorph in this dataset is 433 meV/atom.

The structure belongs to space group Fm-3m (No. 225); the cell edges are 7.5688, 7.5688 and 7.5688 Å and the angles 90.00°, 90.00° and 90.00°. The asymmetric unit holds K at (0.0000, 0.0000, 0.0000), Y at (0.2500, 0.2500, 0.2500) and Cu at (0.0000, 0.0000, 0.5000).

***

# 15
Compound: AgRh2Br
Source: Alexandria
Functional: PBE
Structure: optimized geometry

As for the density: 9.6 g/cm³. The density of states at the Fermi level comes out at 4.60 states/eV per cell. As for the uncorrected formation energy: 206 kJ/mol of formula units. Its crystal system is monoclinic. The value obtained for the magnetization is 0.00 μB/cell. Its energy above the most stable polymorph in this dataset is 230 meV/atom.

The structure belongs to space group P2/m (No. 10); the cell edges are 3.0514, 4.2739 and 5.3540 Å and the angles 90.00°, 102.65° and 90.00°. The asymmetric unit holds Ag at (0.0000, 0.0000, 0.0000), Rh at (0.3870, 0.5000, 0.7389) and Br at (0.5000, 0.0000, 0.5000).

***

# 16
Compound: Cu2MoAu
Source: Alexandria
Functional: PBE
Structure: optimized geometry

As for the density: 12.0 g/cm³. The density of states at the Fermi level comes out at 2.28 states/eV per cell. For the energy relative to the elements, the calculation gives 228 meV/atom. Its crystal system is monoclinic. The value obtained for the magnetization is 0.00 μB/cell. Its energy above the most stable polymorph in this dataset is 91 meV/atom.

The structure belongs to space group Pm (No. 6); the cell edges are 2.6508, 4.1958 and 5.3771 Å and the angles 90.00°, 104.13° and 90.00°. The asymmetric unit holds Cu at (0.0000, 0.0000, 0.0000), Cu at (0.1256, 0.5000, 0.2552), Mo at (0.7319, 0.0000, 0.4686) and Au at (0.3815, 0.5000, 0.7668).

***

# 17
Compound: LuSi2
Source: Alexandria
Functional: PBE
Structure: optimized geometry

As for the density: 7.5 g/cm³. The density of states at the Fermi level comes out at 18.77 states/eV per cell. As for the uncorrected formation energy: -78 kJ/mol of formula units. Its crystal system is cubic. The value obtained for the magnetization is 0.00 μB/cell.

The structure belongs to space group Fd-3m (No. 227, origin choice 2); the cell edges are 7.4257, 7.4257 and 7.4257 Å and the angles 90.00°, 90.00° and 90.00°. The asymmetric unit holds Lu at (0.1250, 0.1250, 0.1250) and Si at (0.0000, 0.0000, 0.5000).

***

# 18
Compound: Fe2Ru
Source: Alexandria
Functional: PBE
Structure: optimized geometry

As for the density: 7.7 g/cm³. The density of states at the Fermi level comes out at 17.35 states/eV per cell. For the energy relative to the elements, the calculation gives 1088 meV/atom. Its crystal system is cubic. The value obtained for the magnetization is 18.61 μB/cell.

The structure belongs to space group Pa-3 (No. 205); the cell edges are 5.6753, 5.6753 and 5.6753 Å and the angles 90.00°, 90.00° and 90.00°. The asymmetric unit holds Fe at (0.1200, 0.1200, 0.1200) and Ru at (0.0000, 0.0000, 0.5000).

***

# 19
Compound: La2NdHoBi5
Source: Alexandria
Functional: PBE
Structure: optimized geometry

As for the density: 7.6 g/cm³. The density of states at the Fermi level comes out at 7.80 states/eV per cell. For the energy relative to the elements, the calculation gives -291 meV/atom. Its crystal system is tetragonal. The value obtained for the magnetization is 0.00 μB/cell.

The structure belongs to space group P4/mmm (No. 123); the cell edges are 5.4312, 5.4312 and 12.1135 Å and the angles 90.00°, 90.00° and 90.00°. The asymmetric unit holds La at (0.0000, 0.0000, 0.2225), Nd at (0.5000, 0.5000, 0.5000), Ho at (0.5000, 0.5000, 0.0000), Bi at (0.0000, 0.0000, 0.5000), Bi at (0.0000, 0.5000, 0.0000) and Bi at (0.5000, 0.5000, 0.2500).

***

# 20
Compound: KBa2H12Rh3
Source: Alexandria
Functional: PBE
Structure: optimized geometry

As for the density: 5.2 g/cm³. The density of states at the Fermi level comes out at 9.13 states/eV per cell. The value obtained for the calculated total energy is -219.3 eV/cell. Its crystal system is trigonal. The value obtained for the magnetization is 0.00 μB/cell.

The structure belongs to space group R-3m (No. 166, hexagonal axes); the cell edges are 6.5352, 6.5352 and 16.5911 Å and the angles 90.00°, 90.00° and 120.00°. The asymmetric unit holds K at (0.0000, 0.0000, 0.0000), Ba at (0.0000, 0.0000, 0.3903), H at (0.0521, 0.5260, 0.4006), H at (0.0613, 0.5306, 0.8195) and Rh at (0.0000, 0.5000, 0.5000).